First-principles (PBE) data for a relaxed structure of Ce2TlRe, as listed in Alexandria via LeMat-Bulk.

Properties
ΔE_f, kJ/mol of atoms: -7.6
D(E_F), states/eV per cell: 6.1
Space-group type: P4/mmm
Crystal system: tetragonal

The structure in CIF format:
```
data_Ce2TlRe
_chemical_formula_sum 'Ce2 Tl1 Re1'
_cell_length_a 3.355
_cell_length_b 3.355
_cell_length_c 8.812
_cell_angle_alpha 90.00
_cell_angle_beta 90.00
_cell_angle_gamma 90.00
_space_group_name_H-M_alt 'P 1'
_space_group_IT_number 1
loop_
_space_group_symop_operation_xyz
'x,y,z'
loop_
_atom_site_label
_atom_site_fract_x
_atom_site_fract_y
_atom_site_fract_z
_atom_site_occupancy
Ce1 0.000 0.000 0.799 1
Ce2 0.000 0.000 0.201 1
Re1 0.500 0.500 0.000 1
Tl1 0.500 0.500 0.500 1
```



First-principles (PBE) data for a relaxed structure of CeTmRe, as listed in Alexandria via LeMat-Bulk.

Properties
ΔE_f, kJ/mol of atoms: 10.3
D(E_F), states/eV per cell: 9.0
Space-group type: C2/m
Crystal system: monoclinic

The structure in CIF format:
```
data_CeTmRe
_chemical_formula_sum 'Ce2 Tm2 Re2'
_cell_length_a 5.963
_cell_length_b 5.963
_cell_length_c 10.184
_cell_angle_alpha 129.36
_cell_angle_beta 129.36
_cell_angle_gamma 31.88
_space_group_name_H-M_alt 'P 1'
_space_group_IT_number 1
loop_
_space_group_symop_operation_xyz
'x,y,z'
loop_
_atom_site_label
_atom_site_fract_x
_atom_site_fract_y
_atom_site_fract_z
_atom_site_occupancy
Ce1 0.503 0.503 0.641 1
Ce2 0.497 0.497 0.359 1
Tm1 0.332 0.332 0.799 1
Tm2 0.668 0.668 0.201 1
Re1 0.133 0.133 0.944 1
Re2 0.867 0.867 0.056 1
```



First-principles (PBE) data for a relaxed structure of CeTmRe4, as listed in Alexandria via LeMat-Bulk.

Properties
ΔE_f, kJ/mol of atoms: -9.7
D(E_F), states/eV per cell: 13.2
Space-group type: F-43m
Crystal system: cubic

The structure in CIF format:
```
data_CeTmRe4
_chemical_formula_sum 'Ce1 Tm1 Re4'
_cell_length_a 5.439
_cell_length_b 5.439
_cell_length_c 5.439
_cell_angle_alpha 60.00
_cell_angle_beta 60.00
_cell_angle_gamma 60.00
_space_group_name_H-M_alt 'P 1'
_space_group_IT_number 1
loop_
_space_group_symop_operation_xyz
'x,y,z'
loop_
_atom_site_label
_atom_site_fract_x
_atom_site_fract_y
_atom_site_fract_z
_atom_site_occupancy
Ce1 0.250 0.250 0.250 1
Tm1 0.000 0.000 0.000 1
Re1 0.625 0.625 0.124 1
Re2 0.124 0.625 0.625 1
Re3 0.625 0.124 0.625 1
Re4 0.625 0.625 0.625 1
```



First-principles (PBE) data for a relaxed structure of CeTmRe, as listed in Alexandria via LeMat-Bulk.

Properties
ΔE_f, kJ/mol of atoms: 4.6
D(E_F), states/eV per cell: 2.6
Space-group type: I4mm
Crystal system: tetragonal

The structure in CIF format:
```
data_CeTmRe
_chemical_formula_sum 'Ce1 Tm1 Re1'
_cell_length_a 3.392
_cell_length_b 3.392
_cell_length_c 6.958
_cell_angle_alpha 104.11
_cell_angle_beta 104.11
_cell_angle_gamma 90.00
_space_group_name_H-M_alt 'P 1'
_space_group_IT_number 1
loop_
_space_group_symop_operation_xyz
'x,y,z'
loop_
_atom_site_label
_atom_site_fract_x
_atom_site_fract_y
_atom_site_fract_z
_atom_site_occupancy
Tm1 0.037 0.037 0.074 1
Ce1 0.294 0.294 0.588 1
Re1 0.669 0.669 0.338 1
```



- Number 4 is which compound?
  CeTmRe